{"formula": "Pm10Nd4Mg", "functional": "GGA-PBE", "state": "optimized geometry", "lattice_angstrom": [[9.6797, 0.0000, 4.3708], [4.8398, 7.0693, 2.1854], [1.9306, 0.0000, 8.6283]], "species": ["Mg", "Nd", "Nd", "Nd", "Nd", "Pm", "Pm", "Pm", "Pm", "Pm", "Pm", "Pm", "Pm", "Pm", "Pm"], "frac_coords": [[0.0000, 0.0000, 0.0000], [0.6757, 0.2614, 0.3873], [0.0630, 0.6127, 0.2614], [0.3243, 0.7386, 0.6127], [0.9370, 0.3873, 0.7386], [0.5496, 0.3228, 0.9019], [0.4504, 0.6772, 0.0981], [0.4515, 0.0981, 0.3228], [0.5485, 0.9019, 0.6772], [0.8724, 0.9019, 0.6772], [0.7500, 0.5000, 0.5000], [0.7743, 0.6772, 0.0981], [0.1276, 0.0981, 0.3228], [0.2500, 0.5000, 0.5000], [0.2257, 0.3228, 0.9019]], "delta_e_f_ev_per_atom": 0.31, "total_energy_ry_per_atom": -0.3109, "dos_ef_per_ev_cell": 23.35}